(1)
## AgSb2ICl (PBE-GGA)

Data for crystalline AgSb2ICl at its relaxed geometry.

## Properties
V   165 Å³ per cell
Magnetic moment   0.00 μB/f.u.
DOS at the Fermi energy   3.9 states/eV per cell
E_form (uncorrected)   2.303 eV per formula unit
Energy above the lowest structure with this stoichiometry   0.000 eV/atom

abc: 5.418 5.418 5.611
angles: 90.00 90.00 90.00
Atoms (fractional coordinates):
Ag (0.000, 0.000, 0.000)
Sb (0.000, 0.500, 0.000)
Sb (0.500, 0.000, 0.000)
I (0.000, 0.000, 0.500)
Cl (0.500, 0.500, 0.500)


(2)
## Ag6SeI2Cl3 (PBE-GGA)

Data for crystalline Ag6SeI2Cl3 at its relaxed geometry.

## Properties
V   308 Å³ per cell
Magnetic moment   0.00 μB/f.u.
DOS at the Fermi energy   4.2 states/eV per cell
E_form (uncorrected)   -2.825 eV per formula unit

abc: 7.060 7.060 7.673
angles: 106.04 106.04 112.01
Atoms (fractional coordinates):
Ag (0.106, 0.423, 0.744)
Ag (0.167, 0.167, 0.269)
Ag (0.423, 0.106, 0.744)
Ag (0.577, 0.894, 0.256)
Ag (0.833, 0.833, 0.731)
Ag (0.894, 0.577, 0.256)
Se (0.000, 0.000, 0.500)
I (0.335, 0.665, 0.500)
I (0.665, 0.335, 0.500)
Cl (0.177, 0.823, 0.000)
Cl (0.500, 0.500, 0.000)
Cl (0.823, 0.177, 0.000)


(3)
## Ag7Se2ICl2 (PBE-GGA)

Data for crystalline Ag7Se2ICl2 at its relaxed geometry.

## Properties
V   310 Å³ per cell
Magnetic moment   0.00 μB/f.u.
DOS at the Fermi energy   0.3 states/eV per cell
E_form (uncorrected)   -1.971 eV per formula unit

abc: 12.646 12.646 12.646
angles: 158.64 33.05 155.08
Atoms (fractional coordinates):
Ag (0.000, 0.000, 0.000)
Ag (0.175, 0.954, 0.222)
Ag (0.365, 0.469, 0.896)
Ag (0.573, 0.469, 0.104)
Ag (0.732, 0.954, 0.778)
Ag (0.736, 0.310, 0.425)
Ag (0.885, 0.310, 0.575)
Se (0.078, 0.969, 0.109)
Se (0.860, 0.969, 0.891)
I (0.398, 0.898, 0.500)
Cl (0.231, 0.454, 0.778)
Cl (0.676, 0.454, 0.222)


(4)
## Ag6Se2ICl2 (PBE-GGA)

Data for crystalline Ag6Se2ICl2 at its relaxed geometry.

## Properties
V   356 Å³ per cell
Magnetic moment   0.00 μB/f.u.
DOS at the Fermi energy   4.4 states/eV per cell
E_form (uncorrected)   -1.827 eV per formula unit

abc: 7.447 7.703 8.261
angles: 64.05 63.46 61.14
Atoms (fractional coordinates):
Ag (0.017, 0.195, 0.354)
Ag (0.389, 0.488, 0.734)
Ag (0.433, 0.195, 0.354)
Ag (0.567, 0.805, 0.646)
Ag (0.611, 0.512, 0.266)
Ag (0.983, 0.805, 0.646)
Se (0.365, 0.816, 0.454)
Se (0.635, 0.184, 0.546)
I (0.000, 0.500, 0.500)
Cl (0.340, 0.258, 0.060)
Cl (0.660, 0.742, 0.940)


| no. | theoretical density (g/cm3) |
| --- | --- |
| 1 | 5.2 |
| 2 | 5.9 |
| 3 | 5.9 |
| 4 | 4.7 |